(1)
# Cs4MnSe4

A relaxed structure of Cs4MnSe4 (GGA-PBE, Alexandria via LeMat-Bulk).

```
18
Lattice="-4.9868 0.5953 -5.5034 -0.8367 -10.0370 -0.3276 -7.4401 0.3987 6.7848" Properties=species:S:1:pos:R:3 pbc="T T T"
Cs -9.3712 -2.1620 4.8130
Cs -10.3839 -4.2115 0.4657
Cs -2.3117 -7.0696 -2.1148
Cs -4.7006 -1.9607 2.4488
Cs -9.5114 -9.3529 0.9651
Cs -5.1568 -7.4888 2.2641
Cs -6.2858 -4.4248 -3.2709
Cs -5.3328 0.4987 -1.7556
Mn 0.0000 0.0000 0.0000
Mn -6.6318 -4.5214 0.4769
Se -7.6152 -6.4269 -0.4938
Se -7.2855 -2.4206 -0.3591
Se -7.6103 -9.6172 4.1999
Se -11.7732 -1.1068 2.1175
Se -4.8401 -7.5362 -4.8603
Se -4.3282 -4.6959 0.0263
Se -7.2983 -4.5425 2.7342
Se -2.3036 0.1744 0.4506
```

formation energy (no corrections)	-92.1	kJ per mole of atoms
E	-0.287	Ry/atom

***

(2)
# HoGa2Ru2

A relaxed structure of HoGa2Ru2 (GGA-PBE, Alexandria via LeMat-Bulk).

```
10
Lattice="3.9899 0.0000 0.0000 0.0000 3.9899 0.0000 -1.9949 -1.9949 11.1993" Properties=species:S:1:pos:R:3 pbc="T T T"
Ho 1.9949 1.9949 2.8953
Ho 0.0000 0.0000 8.3040
Ga 0.0000 1.9949 0.0000
Ga 0.0000 0.0000 4.0248
Ga 1.9949 0.0000 0.0000
Ga 1.9949 1.9949 7.1745
Ru 1.9949 0.0000 5.5997
Ru 1.9949 1.9949 9.6809
Ru 0.0000 0.0000 1.5184
Ru 0.0000 1.9949 5.5997
```

formation enthalpy at 0 K	-2.13	eV per formula unit
E	-0.460	Ry/atom

***

(3)
# Cu2Pd3Au4

A relaxed structure of Cu2Pd3Au4 (GGA-PBE, Alexandria via LeMat-Bulk).

```
9
Lattice="4.0260 0.0000 0.0000 0.0000 6.2218 0.6029 -2.0130 -2.4814 5.4830" Properties=species:S:1:pos:R:3 pbc="T T T"
Cu 0.0000 -1.6505 3.6638
Cu 2.0130 5.3908 2.4222
Pd 2.0130 0.0825 4.4050
Pd 0.0000 3.6579 1.6809
Pd 0.0000 0.0000 0.0000
Au 2.0130 1.7686 0.7750
Au 2.0130 2.8887 3.4536
Au 0.0000 1.9718 5.3110
Au 0.0000 0.8517 2.6323
```

formation enthalpy at 0 K	-0.83	eV per formula unit
E	-0.308	Ry/atom
offset from the most stable computed form	0	meV per atom

***

(4)
# Cs2BeBI6

A relaxed structure of Cs2BeBI6 (GGA-PBE, Alexandria via LeMat-Bulk).

```
10
Lattice="-7.3094 0.5299 4.9563 -1.2545 -8.7094 -0.9190 -1.2650 -5.0041 6.5657" Properties=species:S:1:pos:R:3 pbc="T T T"
Cs -6.4282 -4.2820 6.7703
Cs -3.4008 -8.9016 3.8327
I -2.3822 -4.6655 4.8818
I -7.4467 -8.5181 5.7212
I -2.5160 -2.4031 1.1861
I -6.0479 -5.7764 2.8512
I -5.5305 -2.1845 3.2302
I -3.0334 -5.9950 0.8072
B 0.0000 0.0000 0.0000
Be -4.2820 -4.0897 2.0187
```

formation energy (no corrections)	-35.7	kJ per mole of atoms
E	-0.185	Ry/atom

***

(5)
# Ac3Be2TcN6

A relaxed structure of Ac3Be2TcN6 (GGA-PBE, Alexandria via LeMat-Bulk).

```
12
Lattice="-4.6757 3.1275 -0.6369 -0.2346 -4.8988 2.8277 1.3288 3.1040 5.4876" Properties=species:S:1:pos:R:3 pbc="T T T"
Ac -0.8336 -0.1644 5.3129
Ac -2.7480 1.4972 2.3656
Ac 0.0000 0.0000 0.0000
Be -2.2012 2.7744 4.6236
Be -1.3804 -1.4416 3.0549
Tc 0.6644 1.5520 2.7438
N -2.8555 -1.0376 3.6324
N -0.4675 -0.1762 2.5670
N -0.5816 -2.5586 3.9422
N -3.1141 1.5089 5.1116
N -0.7261 2.3703 4.0461
N -3.0000 3.8913 3.7364
```

formation energy (no corrections)	-75.4	kJ per mole of atoms
E	-0.548	Ry/atom

***

(6)
# TaSb2W

A relaxed structure of TaSb2W (GGA-PBE, Alexandria via LeMat-Bulk).

```
4
Lattice="3.1532 -3.3942 -1.1341 0.0471 -4.1138 2.4132 -1.4746 -4.0174 -2.1061" Properties=species:S:1:pos:R:3 pbc="T T T"
Sb 0.4314 -2.8813 -0.2068
Sb 1.2943 -8.6440 -0.6203
W 0.8629 -5.7627 -0.4135
Ta 0.0000 0.0000 0.0000
```

formation energy (no corrections)	41.5	kJ per mole of atoms
E	-0.576	Ry/atom
offset from the most stable computed form	312	meV per atom

***

(7)
# KNa2CaZn

A relaxed structure of KNa2CaZn (GGA-PBE, Alexandria via LeMat-Bulk).

```
5
Lattice="-1.8994 -4.6775 -3.1427 3.7821 1.4004 -4.3701 4.1392 -3.3634 2.5044" Properties=species:S:1:pos:R:3 pbc="T T T"
K 3.0109 -3.3203 -2.5042
Na 1.8910 0.7002 -2.1851
Na -0.9497 -2.3388 -1.5713
Zn 0.0000 0.0000 0.0000
Ca 2.0696 -1.6817 1.2522
```

formation enthalpy at 0 K	0.51	eV per formula unit
E	-0.096	Ry/atom

***

(8)
# LaErPdSe3

A relaxed structure of LaErPdSe3 (GGA-PBE, Alexandria via LeMat-Bulk).

```
12
Lattice="4.0403 0.0000 0.0000 0.0000 7.7552 -0.1115 0.0000 -2.1765 9.3505" Properties=species:S:1:pos:R:3 pbc="T T T"
La 1.0101 1.0556 2.7156
La 3.0302 4.5231 6.5234
Er 1.0101 4.9738 1.5373
Er 3.0302 0.6049 7.7017
Pd 1.0101 -0.5672 5.5831
Pd 3.0302 6.1459 3.6560
Se 3.0302 6.9524 1.2261
Se 1.0101 -1.3737 8.0129
Se 1.0101 4.4894 4.2878
Se 3.0302 1.0893 4.9512
Se 3.0302 2.9392 1.2813
Se 1.0101 2.6395 7.9577
```

formation energy (no corrections)	-158.3	kJ per mole of atoms
E	-0.429	Ry/atom